#P
# La2TmPb2 (PBE-GGA, relaxed)
data_La2TmPb2
_cell_length_a 5.212
_cell_length_b 18.869
_cell_length_c 6.723
_cell_angle_alpha 90.00
_cell_angle_beta 90.00
_cell_angle_gamma 90.00
_symmetry_space_group_name_H-M 'C m c m'
_symmetry_Int_Tables_number 63
_symmetry_space_group_name_Hall '-C 2c 2'
loop_
_atom_site_label
_atom_site_fract_x
_atom_site_fract_y
_atom_site_fract_z
La1 0.000 0.000 0.000
La2 0.000 0.196 0.250
Tm1 0.000 0.399 0.250
Pb1 0.000 0.183 0.750
Pb2 0.000 0.423 0.750
# Crystal system   orthorhombic

#Q
# La2TmPb2 (PBE-GGA, relaxed)
data_La2TmPb2
_cell_length_a 8.291
_cell_length_b 8.291
_cell_length_c 4.759
_cell_angle_alpha 90.00
_cell_angle_beta 90.00
_cell_angle_gamma 90.00
_symmetry_space_group_name_H-M 'P 4/m b m'
_symmetry_Int_Tables_number 127
_symmetry_space_group_name_Hall '-P 4 2ab'
loop_
_atom_site_label
_atom_site_fract_x
_atom_site_fract_y
_atom_site_fract_z
La1 0.170 0.330 0.000
Tm1 0.000 0.000 0.500
Pb1 0.136 0.636 0.500
# Crystal system   tetragonal

Energies relative to the minimum, meV/atom: #P 49; #Q 0

#P
# La3Tm2Pb4 (PBE-GGA, relaxed)
data_La3Tm2Pb4
_cell_length_a 13.860
_cell_length_b 4.735
_cell_length_c 10.137
_cell_angle_alpha 90.00
_cell_angle_beta 116.79
_cell_angle_gamma 90.00
_symmetry_space_group_name_H-M 'C 1 2/m 1'
_symmetry_Int_Tables_number 12
_symmetry_space_group_name_Hall '-C 2y'
loop_
_atom_site_label
_atom_site_fract_x
_atom_site_fract_y
_atom_site_fract_z
La1 0.000 0.000 0.000
La2 0.125 0.500 0.699
Tm1 0.183 0.500 0.353
Pb1 0.070 0.000 0.406
Pb2 0.199 0.500 0.063
# Crystal system   monoclinic

#Q
# La3Tm2Pb4 (PBE-GGA, relaxed)
data_La3Tm2Pb4
_cell_length_a 16.543
_cell_length_b 5.163
_cell_length_c 7.121
_cell_angle_alpha 90.00
_cell_angle_beta 105.00
_cell_angle_gamma 90.00
_symmetry_space_group_name_H-M 'C 1 2/m 1'
_symmetry_Int_Tables_number 12
_symmetry_space_group_name_Hall '-C 2y'
loop_
_atom_site_label
_atom_site_fract_x
_atom_site_fract_y
_atom_site_fract_z
La1 0.000 0.000 0.000
La2 0.125 0.000 0.579
Tm1 0.164 0.500 0.066
Pb1 0.005 0.500 0.286
Pb2 0.235 0.000 0.253
# Crystal system   monoclinic

Energies relative to the minimum, meV/atom: #P 35; #Q 0

#P
# LaY3Pb (PBE-GGA, relaxed)
data_LaY3Pb
_cell_length_a 5.609
_cell_length_b 5.609
_cell_length_c 5.609
_cell_angle_alpha 90.00
_cell_angle_beta 90.00
_cell_angle_gamma 90.00
_symmetry_space_group_name_H-M 'P m -3 m'
_symmetry_Int_Tables_number 221
_symmetry_space_group_name_Hall '-P 4 2 3'
loop_
_atom_site_label
_atom_site_fract_x
_atom_site_fract_y
_atom_site_fract_z
La1 0.000 0.000 0.000
Y1 0.000 0.000 0.500
Pb1 0.500 0.500 0.500
# Crystal system   cubic

#Q
# LaY3Pb (PBE-GGA, relaxed)
data_LaY3Pb
_cell_length_a 5.838
_cell_length_b 5.838
_cell_length_c 5.838
_cell_angle_alpha 90.00
_cell_angle_beta 90.00
_cell_angle_gamma 90.00
_symmetry_space_group_name_H-M 'P m -3 m'
_symmetry_Int_Tables_number 221
_symmetry_space_group_name_Hall '-P 4 2 3'
loop_
_atom_site_label
_atom_site_fract_x
_atom_site_fract_y
_atom_site_fract_z
La1 0.000 0.000 0.000
Y1 0.000 0.500 0.500
Pb1 0.500 0.500 0.500
# Crystal system   cubic

Energies relative to the minimum, meV/atom: #P 444; #Q 0

#P
# La2YPb2 (PBE-GGA, relaxed)
data_La2YPb2
_cell_length_a 5.229
_cell_length_b 19.025
_cell_length_c 6.734
_cell_angle_alpha 90.00
_cell_angle_beta 90.00
_cell_angle_gamma 90.00
_symmetry_space_group_name_H-M 'C m c m'
_symmetry_Int_Tables_number 63
_symmetry_space_group_name_Hall '-C 2c 2'
loop_
_atom_site_label
_atom_site_fract_x
_atom_site_fract_y
_atom_site_fract_z
La1 0.000 0.000 0.000
La2 0.000 0.195 0.250
Y1 0.000 0.398 0.250
Pb1 0.000 0.186 0.750
Pb2 0.000 0.423 0.750
# Crystal system   orthorhombic

#Q
# La2YPb2 (PBE-GGA, relaxed)
data_La2YPb2
_cell_length_a 8.360
_cell_length_b 8.360
_cell_length_c 4.739
_cell_angle_alpha 90.00
_cell_angle_beta 90.00
_cell_angle_gamma 90.00
_symmetry_space_group_name_H-M 'P 4/m b m'
_symmetry_Int_Tables_number 127
_symmetry_space_group_name_Hall '-P 4 2ab'
loop_
_atom_site_label
_atom_site_fract_x
_atom_site_fract_y
_atom_site_fract_z
La1 0.169 0.331 0.000
Y1 0.000 0.000 0.500
Pb1 0.135 0.635 0.500
# Crystal system   tetragonal

Energies relative to the minimum, meV/atom: #P 48; #Q 0